# Tl3VCr2F9 (PBE+U, relaxed)
# calculated total energy = -5.32 eV per atom
data_Tl3VCr2F9
_chemical_formula_sum 'Tl3 V1 Cr2 F9'
_cell_length_a 6.0458
_cell_length_b 6.0458
_cell_length_c 7.4077
_cell_angle_alpha 90.00
_cell_angle_beta 90.00
_cell_angle_gamma 120.00
_space_group_name_H-M_alt 'P -3 m 1'
_space_group_IT_number 164
_space_group_name_Hall '-P 3 2"'
loop_
_atom_site_label
_atom_site_type_symbol
_atom_site_fract_x
_atom_site_fract_y
_atom_site_fract_z
Tl1 Tl 0.0000 0.0000 0.0000
Tl2 Tl 0.3333 0.6667 0.6615
V1 V 0.0000 0.0000 0.5000
Cr1 Cr 0.3333 0.6667 0.1628
F1 F 0.0000 0.5000 0.0000
F2 F 0.1669 0.3338 0.3322